(1)
The following is a GGA-PBE calculation of AcCd2PtRh2 after structural relaxation, from Alexandria via LeMat-Bulk.

a b c (Å): 5.291 5.291 6.427
angles (deg): 114.30 114.30 90.00
Fractional coordinates of all 6 atoms:
1 Ac 0.500 0.500 0.000
2 Cd 0.250 0.750 0.500
3 Cd 0.750 0.250 0.500
4 Pt 0.000 0.000 0.000
5 Rh 0.246 0.246 0.491
6 Rh 0.754 0.754 0.509

## Properties
Crystal system ... tetragonal
Symmetry ... I4/mmm (139)
Formation energy from the elements ... -70 meV/atom
D(E_F) ... 0.3971 states/eV/atom



(2)
The following is a GGA-PBE calculation of MgTiCuP3O12 after structural relaxation, from Alexandria via LeMat-Bulk.

a b c (Å): 8.477 8.477 8.477
angles (deg): 60.98 60.98 60.98
Fractional coordinates of all 36 atoms:
1 Mg 0.003 0.003 0.003
2 Mg 0.503 0.503 0.503
3 Ti 0.857 0.857 0.857
4 Ti 0.357 0.357 0.357
5 Cu 0.643 0.643 0.643
6 Cu 0.143 0.143 0.143
7 P 0.956 0.544 0.249
8 P 0.544 0.249 0.956
9 P 0.249 0.956 0.544
10 P 0.749 0.044 0.456
11 P 0.456 0.749 0.044
12 P 0.044 0.456 0.749
13 O 0.896 0.496 0.670
14 O 0.670 0.896 0.496
15 O 0.940 0.746 0.093
16 O 0.496 0.670 0.896
17 O 0.996 0.396 0.170
18 O 0.762 0.549 0.413
19 O 0.746 0.093 0.940
20 O 0.549 0.413 0.762
21 O 0.812 0.997 0.622
22 O 0.413 0.762 0.549
23 O 0.913 0.049 0.262
24 O 0.622 0.812 0.997
25 O 0.396 0.170 0.996
26 O 0.093 0.940 0.746
27 O 0.593 0.246 0.440
28 O 0.170 0.996 0.396
29 O 0.440 0.593 0.246
30 O 0.262 0.913 0.049
31 O 0.246 0.440 0.593
32 O 0.997 0.622 0.812
33 O 0.497 0.312 0.122
34 O 0.049 0.262 0.913
35 O 0.312 0.122 0.497
36 O 0.122 0.497 0.312

## Properties
Crystal system ... trigonal
Symmetry ... R3c (161)
Formation energy without anion corrections ... -3749 kJ/mol of formula units
D(E_F) ... 0.0544 states/eV/atom



(3)
The following is a GGA-PBE calculation of Rb4Se2S5 after structural relaxation, from Alexandria via LeMat-Bulk.

a b c (Å): 4.982 7.767 9.636
angles (deg): 90.57 90.00 90.00
Fractional coordinates of all 11 atoms:
1 Rb 0.500 0.248 0.643
2 Rb 0.500 0.755 0.908
3 Rb 0.500 0.752 0.357
4 Rb 0.500 0.245 0.092
5 Se 0.000 0.790 0.636
6 Se 0.000 0.210 0.364
7 S 0.000 0.474 0.249
8 S 0.000 0.994 0.213
9 S 0.000 0.500 0.000
10 S 0.000 0.006 0.787
11 S 0.000 0.526 0.751

## Properties
Crystal system ... monoclinic
Symmetry ... P2/m (10)
Formation energy without anion corrections ... -688 kJ/mol of formula units



(4)
The following is a GGA-PBE calculation of Y3Rh2 after structural relaxation, from Alexandria via LeMat-Bulk.

a b c (Å): 4.786 4.786 6.050
angles (deg): 90.00 90.00 120.00
Fractional coordinates of all 5 atoms:
1 Rh 0.667 0.333 0.166
2 Rh 0.333 0.667 0.834
3 Y 0.000 0.000 0.000
4 Y 0.667 0.333 0.665
5 Y 0.333 0.667 0.335

## Properties
Excess energy over the best structure of this formula in the dataset ... 43 meV per atom
Crystal system ... trigonal
Symmetry ... P-3m1 (164)
Formation energy from the elements ... -699 meV/atom
D(E_F) ... 0.6903 states/eV/atom



(5)
The following is a GGA-PBE calculation of ReHgSN2 after structural relaxation, from Alexandria via LeMat-Bulk.

a b c (Å): 4.005 4.005 6.153
angles (deg): 90.00 90.00 90.00
Fractional coordinates of all 5 atoms:
1 Re 0.500 0.500 0.500
2 S 0.000 0.000 0.500
3 Hg 0.000 0.000 0.000
4 N 0.000 0.500 0.000
5 N 0.500 0.000 0.000

## Properties
Excess energy over the best structure of this formula in the dataset ... 2206 meV per atom
Crystal system ... tetragonal
Symmetry ... P4/mmm (123)
Formation energy without anion corrections ... 1294 kJ/mol of formula units
D(E_F) ... 0.4013 states/eV/atom



(6)
The following is a GGA-PBE calculation of Ba2MgBiN after structural relaxation, from Alexandria via LeMat-Bulk.

a b c (Å): 5.876 5.876 4.293
angles (deg): 90.00 90.00 90.00
Fractional coordinates of all 5 atoms:
1 Mg 0.000 0.000 0.500
2 N 0.000 0.000 0.000
3 Bi 0.500 0.500 0.500
4 Ba 0.000 0.500 0.000
5 Ba 0.500 0.000 0.000

## Properties
Crystal system ... tetragonal
Symmetry ... P4/mmm (123)
Formation energy without anion corrections ... -291 kJ/mol of formula units
D(E_F) ... 0.1898 states/eV/atom